Compound: PaVGaO6
Source: Alexandria via LeMat-Bulk
Functional: PBE with a Hubbard U
Structure: optimized geometry

Calculated values
Total energy = -8.020 eV per atom
Space-group type = No. 149
Crystal system = trigonal

abc: 4.812 5.083 5.083
angles: 120.00 90.00 90.00
Last column: magnetic moment on the atom in μB.
Element x y z (fractional)
V  0.500  0.667  0.333  1.11
O  0.727  0.981  0.321  -0.03
O  0.727  0.679  0.660  -0.03
Ga  0.500  0.000  0.000  0.01
O  0.273  0.981  0.660  -0.03
O  0.273  0.340  0.321  -0.03
O  0.727  0.340  0.019  -0.03
Pa  0.000  0.333  0.667  0.05
O  0.273  0.679  0.019  -0.03